Density functional theory data (GGA-PBE) for a relaxed structure of LuBeAlCo.

Cell lengths 6.135, 6.135, 6.135 Å; angles 90.00, 90.00, 90.00 degrees
Space group F-43m (No. 216)
Symmetry-distinct sites (fractional):
Lu (0.000, 0.000, 0.000) [4 per cell]
Be (0.250, 0.250, 0.250) [4 per cell]
Al (0.000, 0.000, 0.500) [4 per cell]
Co (0.250, 0.250, 0.750) [4 per cell]

Calculated values
ΔE to the lowest computed polymorph   0.0000 eV/atom
Spin magnetization   0.1 Bohr magnetons per cell
Final energy   -4.9741 eV/atom